Entry 1:
Crystalline CaLuThMg at its relaxed geometry, computed with PBE.

Properties
- total DFT energy (no corrections) (eV/f.u.) = -14.818
- calculated density (g cm⁻³) = 6.35

a b c (Å): 5.5853 5.5853 5.5853
angles (deg): 60.00 60.00 60.00
Atoms (fractional coordinates):
Ca 0.7500 0.7500 0.7500
Lu 0.5000 0.5000 0.5000
Mg 0.0000 0.0000 0.0000
Th 0.2500 0.2500 0.2500

Entry 2:
Crystalline CaYLuMg at its relaxed geometry, computed with PBE.

Properties
- total DFT energy (no corrections) (eV/f.u.) = -14.241
- calculated density (g cm⁻³) = 4.45

a b c (Å): 5.5751 5.5751 5.5751
angles (deg): 60.00 60.00 60.00
Atoms (fractional coordinates):
Y 0.7500 0.7500 0.7500
Ca 0.2500 0.2500 0.2500
Lu 0.5000 0.5000 0.5000
Mg 0.0000 0.0000 0.0000

Entry 3:
Crystalline CaLu2Mn at its relaxed geometry, computed with PBE.

Properties
- total DFT energy (no corrections) (eV/f.u.) = -19.764
- calculated density (g cm⁻³) = 6.77

a b c (Å): 3.4443 3.4443 9.2001
angles (deg): 90.00 90.00 90.00
Each line ends with the local moment (μB).
Atoms (fractional coordinates):
Ca 0.5000 0.5000 0.5000  -0.01
Lu 0.0000 0.0000 0.8206  0.23
Lu 0.0000 0.0000 0.1794  0.23
Mn 0.5000 0.5000 0.0000  -2.93